(1)
A plane-wave DFT calculation with PBE was carried out for a relaxed structure of PrPa6.

Cell: 6.649 6.649 6.649 Å, 109.47 109.47 109.47°
Sites, in units of the cell vectors:
Pa (0.500, 0.750, 0.250)
Pa (0.250, 0.500, 0.750)
Pa (0.250, 0.750, 0.500)
Pa (0.750, 0.500, 0.250)
Pa (0.750, 0.250, 0.500)
Pa (0.500, 0.250, 0.750)
Pr (0.000, 0.000, 0.000)

Results
- N(E_F) (states/eV/cell) = 23.37
- energy relative to the elements (meV/atom) = 1310

---

(2)
A plane-wave DFT calculation with PBE was carried out for a relaxed structure of Pr3Pa.

Cell: 3.514 6.208 6.955 Å, 116.51 104.63 90.00°
Sites, in units of the cell vectors:
Pr (0.267, 0.625, 0.534)
Pr (0.733, 0.091, 0.466)
Pr (0.500, 0.468, 0.000)
Pa (0.000, 0.983, 0.000)

Results
- N(E_F) (states/eV/cell) = 7.09
- energy relative to the elements (meV/atom) = 263

---

(3)
A plane-wave DFT calculation with PBE was carried out for a relaxed structure of PrPa5.

Cell: 4.709 4.699 7.483 Å, 108.30 90.00 90.00°
Sites, in units of the cell vectors:
Pa (0.500, 0.169, 0.337)
Pa (0.000, 0.670, 0.339)
Pa (0.500, 0.831, 0.663)
Pa (0.000, 0.330, 0.661)
Pa (0.500, 0.500, 0.000)
Pr (0.000, 0.000, 0.000)

Results
- N(E_F) (states/eV/cell) = 11.45
- energy relative to the elements (meV/atom) = 171